# LaPr2BrO4

LaPr2BrO4 after structural relaxation (PBE, the Alexandria database). Values from VASP.

Cell and atoms, written as Quantum ESPRESSO input:
```
&SYSTEM
  ibrav = 0, nat = 8, ntyp = 4
/
ATOMIC_SPECIES
O 16.00 O.upf
Br 79.90 Br.upf
Pr 140.91 Pr.upf
La 138.91 La.upf
CELL_PARAMETERS angstrom
4.104 0.000 0.000
0.000 4.104 0.000
0.000 0.000 9.607
ATOMIC_POSITIONS crystal
O 0.500 0.000 0.155
O 0.000 0.500 0.845
O 0.000 0.500 0.155
O 0.500 0.000 0.845
Br 0.000 0.000 0.500
Pr 0.500 0.500 0.261
Pr 0.500 0.500 0.739
La 0.000 0.000 0.000
```

Calculated values
Its uncorrected formation energy is -3121 meV per atom. Its final energy is -60.96 eV per cell.